Entry 1:
The following is a GGA-PBE calculation of an optimized crystal structure of K2Li2SmCl6, from the Alexandria database.

Calculated values
Formation energy without anion corrections, meV/atom: -1803
Total moment, μB/f.u.: 0.9

Cell and atoms, written as POSCAR:
```
K2Li2SmCl6
1.0
6.854 0.000 0.000
-3.427 5.935 0.000
0.000 0.000 7.376
K Li Cl Sm
2 2 6 1
Direct
0.667 0.333 0.500
0.333 0.667 0.500
0.667 0.333 0.000
0.333 0.667 0.000
0.352 0.352 0.199
0.648 0.000 0.199
0.000 0.648 0.199
0.000 0.352 0.801
0.648 0.648 0.801
0.352 0.000 0.801
0.000 0.000 0.000
```

Entry 2:
The following is a GGA-PBE calculation of an optimized crystal structure of KLiSmCl5, from the Alexandria database.

Calculated values
Formation energy without anion corrections, meV/atom: -2096
Total moment, μB/f.u.: 0.0

Cell and atoms, written as POSCAR:
```
KLiSmCl5
1.0
7.520 -0.032 -0.090
-2.226 7.183 -0.090
-2.306 -3.115 9.378
K Cl Sm Li
2 10 2 2
Direct
0.651 0.349 0.750
0.349 0.651 0.250
0.621 0.750 0.925
0.915 0.313 0.118
0.250 0.379 0.575
0.687 0.085 0.382
0.379 0.250 0.075
0.086 0.914 0.250
0.313 0.915 0.618
0.085 0.687 0.882
0.914 0.086 0.750
0.750 0.621 0.425
0.000 0.000 0.500
0.000 0.000 0.000
0.310 0.690 0.750
0.690 0.310 0.250
```

Entry 3:
The following is a GGA-PBE calculation of an optimized crystal structure of K2Li3SnCl8, from the Alexandria database.

Calculated values
Formation energy without anion corrections, meV/atom: -1525
Total moment, μB/f.u.: 0.0

Cell and atoms, written as POSCAR:
```
K2Li3SnCl8
1.0
-1.652 -0.515 7.678
-0.334 -7.046 3.490
6.777 -2.065 5.353
Cl Li Sn K
8 3 1 2
Direct
0.826 0.826 0.521
0.251 0.251 0.246
0.312 0.742 0.204
0.692 0.220 0.868
0.742 0.742 0.204
0.220 0.220 0.868
0.742 0.312 0.204
0.220 0.692 0.868
0.045 0.455 0.045
0.455 0.045 0.045
0.455 0.455 0.045
0.934 0.934 0.199
0.478 0.478 0.567
0.122 0.122 0.634
```

Entry 4:
The following is a GGA-PBE calculation of an optimized crystal structure of K2LiSnCl5, from the Alexandria database.

Calculated values
Formation energy without anion corrections, meV/atom: -1560
Total moment, μB/f.u.: 0.0

Cell and atoms, written as POSCAR:
```
K2LiSnCl5
1.0
4.356 0.000 0.000
-2.178 9.110 0.000
0.000 0.000 13.517
Cl Li K Sn
10 2 4 2
Direct
0.481 0.963 0.762
0.357 0.714 0.999
0.099 0.197 0.049
0.901 0.803 0.549
0.270 0.540 0.661
0.519 0.037 0.262
0.337 0.674 0.347
0.663 0.326 0.847
0.643 0.286 0.499
0.730 0.460 0.161
0.763 0.525 0.573
0.237 0.475 0.073
0.155 0.311 0.315
0.845 0.689 0.815
0.101 0.202 0.672
0.899 0.798 0.172
0.455 0.910 0.446
0.545 0.090 0.946
```

Entry 5:
The following is a GGA-PBE calculation of an optimized crystal structure of KSr2LiCl6, from the Alexandria database.

Calculated values
Formation energy without anion corrections, meV/atom: -2203
Total moment, μB/f.u.: 0.0

Cell and atoms, written as POSCAR:
```
KSr2LiCl6
1.0
-5.609 2.601 -3.933
-4.094 -4.568 -4.009
-7.233 -1.555 2.460
Sr Cl Li K
2 6 1 1
Direct
0.010 0.010 0.969
0.521 0.521 0.438
0.387 0.705 0.762
0.233 0.941 0.238
0.705 0.146 0.762
0.589 0.233 0.238
0.146 0.387 0.762
0.941 0.589 0.238
0.324 0.324 0.028
0.806 0.806 0.582
```

Entry 6:
The following is a GGA-PBE calculation of an optimized crystal structure of KLi2TaCl8, from the Alexandria database.

Calculated values
Formation energy without anion corrections, meV/atom: -1546
Total moment, μB/f.u.: 0.0

Cell and atoms, written as POSCAR:
```
KLi2TaCl8
1.0
-4.307 1.682 -4.334
-1.973 -5.576 -1.995
-6.397 -0.014 6.344
Li Cl Ta K
2 8 1 1
Direct
0.500 0.500 0.665
0.500 0.500 0.335
0.252 0.227 0.000
0.202 0.778 0.812
0.679 0.681 0.500
0.798 0.222 0.188
0.321 0.319 0.500
0.799 0.222 0.812
0.748 0.773 0.000
0.201 0.778 0.188
0.000 0.000 0.000
0.000 0.000 0.500
```